w | VASP calculation (PBE) on an optimized crystal structure of VH2Au.

Geometry as POSCAR:
```
VH2Au
1.0
4.215 0.000 0.000
0.000 4.215 0.000
2.107 2.107 4.390
H V Au
4 2 2
direct
0.565 0.125 0.250 H
0.375 0.435 0.750 H
0.875 0.815 0.750 H
0.185 0.625 0.250 H
0.500 0.500 0.000 V
0.250 0.750 0.500 V
0.750 0.250 0.500 Au
0.000 0.000 0.000 Au
```

Output
crystal system = tetragonal
calculated volume = 9.75 A^3/atom

x | VASP calculation (PBE) on an optimized crystal structure of VH2Au.

Geometry as POSCAR:
```
VH2Au
1.0
0.849 1.111 3.603
-2.675 -0.248 2.779
0.362 -2.639 2.801
H V Au
2 1 1
direct
0.250 0.250 0.250 H
0.750 0.750 0.750 H
0.000 0.000 0.000 V
0.500 0.500 0.500 Au
```

Output
crystal system = cubic
calculated volume = 10.21 A^3/atom

Name the most stable of them. w.

w | VASP calculation (PBE) on an optimized crystal structure of VH2Au.

Geometry as POSCAR:
```
VH2Au
1.0
-2.644 0.591 1.020
-2.252 0.146 -1.814
-2.513 -4.868 0.418
Au H V
1 2 1
direct
0.495 0.495 0.515 Au
0.292 0.292 0.123 H
0.041 0.041 0.878 H
0.672 0.672 0.984 V
```

Output
crystal system = trigonal
calculated volume = 9.50 A^3/atom

x | VASP calculation (PBE) on an optimized crystal structure of VH2Au.

Geometry as POSCAR:
```
VH2Au
1.0
-2.838 -0.022 0.731
-1.320 -2.528 0.675
-0.134 -0.200 5.353
H Au V
2 1 1
direct
0.873 0.873 0.382 H
0.127 0.127 0.618 H
0.000 0.000 0.000 Au
0.500 0.500 0.500 V
```

Output
crystal system = trigonal
calculated volume = 9.45 A^3/atom

Name the most stable of them. x.